Material: Ac2Cd3Ge4Pd
Method: DFT, PBE
State: relaxed

The structure in extended XYZ format:
```
10
Lattice="4.677 0.000 0.000 0.000 4.677 0.000 0.000 0.000 10.832" Properties=species:S:1:pos:R:3 pbc="T T T"
Ac 0.000 2.338 2.625
Ac 2.338 0.000 8.207
Cd 0.000 0.000 0.000
Cd 0.000 2.338 6.851
Cd 2.338 0.000 3.981
Ge 0.000 0.000 5.416
Ge 0.000 2.338 9.488
Ge 2.338 0.000 1.344
Ge 2.338 2.338 5.416
Pd 2.338 2.338 0.000
```

## Properties
DOS at the Fermi energy ... 0.477 states/eV per atom
SG ... P-4m2
ΔE_f ... -415 meV per atom
Mass density ... 8.33 g/cm3